[1]
Pr2Al4NiIr3: optimized geometry, GGA-PBE.

It has space group P-4m2 (No. 115), with a = 4.227 Å, b = 4.227 Å, c = 10.414 Å, α = 90.00°, β = 90.00° and γ = 90.00°. The distinct sites, in fractional coordinates, are Pr at (0.000, 0.500, 0.243), Al at (0.000, 0.000, 0.500), Al at (0.000, 0.500, 0.880), Al at (0.500, 0.500, 0.500), Ni at (0.500, 0.500, 0.000), Ir at (0.000, 0.000, 0.000) and Ir at (0.000, 0.500, 0.636).

The value obtained for the formation energy from the elements is -7.8 eV/f.u. The mass density is 9.15 g/cm³. The energy is -6.474 eV/atom.

***

[2]
MgZrI: optimized geometry, GGA-PBE.

It has space group P1 (No. 1), with a = 3.615 Å, b = 5.629 Å, c = 10.861 Å, α = 98.25°, β = 93.70° and γ = 108.66°. The distinct sites, in fractional coordinates, are Mg at (0.000, 0.000, 0.000), Mg at (0.305, 0.581, 0.069), Zr at (0.325, 0.732, 0.787), Zr at (0.620, 0.301, 0.842), I at (0.651, 0.459, 0.592) and I at (0.972, 0.847, 0.253).

The mass density is 3.91 g/cm³. For the energy above the most stable polymorph in this dataset, the calculation gives 9.9 kJ per mole of atoms. The energy is -4.097 eV/atom. As for the uncorrected formation energy: -0.200 eV per atom.

***

[3]
Ac4Si2Br: optimized geometry, GGA-PBE.

It has space group I-42d (No. 122), with a = 9.598 Å, b = 9.598 Å, c = 9.826 Å, α = 90.00°, β = 90.00° and γ = 90.00°. The distinct sites, in fractional coordinates, are Ac at (0.074, 0.681, 0.430), Si at (0.128, 0.750, 0.125) and Br at (0.000, 0.000, 0.500).

The mass density is 7.66 g/cm³. The energy is -4.836 eV/atom. As for the uncorrected formation energy: -0.700 eV per atom.

***

[4]
CaInOsF2: optimized geometry, GGA-PBE.

It has space group P4/mmm (No. 123), with a = 4.138 Å, b = 4.138 Å, c = 6.682 Å, α = 90.00°, β = 90.00° and γ = 90.00°. The distinct sites, in fractional coordinates, are Ca at (0.000, 0.000, 0.000), In at (0.500, 0.500, 0.500), Os at (0.000, 0.000, 0.500) and F at (0.000, 0.500, 0.000).

The mass density is 5.56 g/cm³. The energy is -5.019 eV/atom. As for the uncorrected formation energy: -1.077 eV per atom.

***

Per-record density of states at the Fermi level, states/eV/atom: 0.5359, 0.5249, 1.1203, 0.8523